[1]
MnBeVIr: relaxed, GGA-PBE.

As for the total magnetization: 0.62 μB per formula unit. The formation enthalpy at 0 K comes out at -390 meV per atom.

Unit cell a=2.892 b=2.892 c=5.557 alpha=90.00 beta=90.00 gamma=90.00
Fractional positions:
Mn 0.000 0.000 0.000
Be 0.500 0.500 0.237
V 0.500 0.500 0.772
Ir 0.000 0.000 0.469

[2]
Ba3Tl9Zn2: relaxed, GGA-PBE.

As for the total magnetization: 0.00 μB per formula unit. The formation enthalpy at 0 K comes out at -213 meV per atom.

Unit cell a=9.724 b=9.724 c=5.155 alpha=105.18 beta=105.18 gamma=74.92
Fractional positions:
Ba 0.000 0.000 0.000
Ba 0.308 0.308 0.309
Ba 0.692 0.692 0.691
Tl 0.008 0.277 0.643
Tl 0.137 0.571 0.854
Tl 0.277 0.008 0.643
Tl 0.429 0.863 0.146
Tl 0.500 0.500 0.000
Tl 0.571 0.137 0.854
Tl 0.723 0.992 0.357
Tl 0.863 0.429 0.146
Tl 0.992 0.723 0.357
Zn 0.318 0.682 0.500
Zn 0.682 0.318 0.500

[3]
LiLa2GaFe: relaxed, GGA-PBE.

As for the total magnetization: 0.03 μB per formula unit. As for the energy above the most stable polymorph in this dataset: 806 meV per atom. The formation enthalpy at 0 K comes out at 683 meV per atom.

Unit cell a=5.688 b=5.688 c=4.428 alpha=90.00 beta=90.00 gamma=90.00
Fractional positions:
Li 0.000 0.000 0.000
La 0.000 0.500 0.500
La 0.500 0.000 0.500
Ga 0.000 0.000 0.500
Fe 0.500 0.500 0.000

> The lowest total magnetization belongs to which entry?

Ba3Tl9Zn2